1.
Crystalline LiLaPuN3 at its relaxed geometry, computed with PBE-GGA.

The structure in POSCAR format:
```
LiLaPuN3
1.0
3.5509 0.0000 0.0000
0.0000 7.2315 0.0054
0.0000 -1.8934 6.7896
N Li Pu La
6 2 2 2
Direct
0.7500 0.2061 0.5380
0.7500 0.8789 0.1302
0.7500 0.4230 0.1312
0.2500 0.1211 0.8698
0.2500 0.7939 0.4620
0.2500 0.5770 0.8688
0.7500 0.9255 0.4113
0.2500 0.0745 0.5887
0.7500 0.3229 0.8317
0.2500 0.6771 0.1683
0.7500 0.8107 0.7746
0.2500 0.1893 0.2254
```

Raw formation energy in kJ/mol of atoms: -97.4

2.
Crystalline Li2La2PuN4 at its relaxed geometry, computed with PBE-GGA.

The structure in POSCAR format:
```
Li2La2PuN4
1.0
3.4631 0.0000 0.0000
-1.7315 6.4077 0.1662
0.0000 -2.0806 5.6227
La N Pu Li
2 4 1 2
Direct
0.1411 0.2823 0.5701
0.8589 0.7177 0.4299
0.4725 0.9451 0.2212
0.5275 0.0549 0.7788
0.7843 0.5686 0.7707
0.2157 0.4314 0.2293
0.0000 0.0000 0.0000
0.3171 0.6341 0.9858
0.6829 0.3659 0.0142
```

Raw formation energy in kJ/mol of atoms: -88.8

3.
Crystalline Li2LaReN4 at its relaxed geometry, computed with PBE-GGA.

The structure in POSCAR format:
```
Li2LaReN4
1.0
-3.4349 3.7677 -1.2196
-1.2316 0.5311 5.1097
5.5487 5.3127 0.7852
Re La Li N
2 2 4 8
Direct
0.0015 0.1980 0.0000
0.5015 0.8020 0.5000
0.9855 0.2725 0.5000
0.4855 0.7275 0.0000
0.9907 0.7078 0.2470
0.4907 0.2922 0.7470
0.9907 0.7078 0.7530
0.4907 0.2922 0.2530
0.3500 0.2305 0.0000
0.3673 0.6593 0.6960
0.8500 0.7695 0.5000
0.3673 0.6593 0.3040
0.8673 0.3407 0.8040
0.4471 0.1456 0.5000
0.9471 0.8544 0.0000
0.8673 0.3407 0.1960
```

Raw formation energy in kJ/mol of atoms: -77.0

4.
Crystalline LiLa2RhN at its relaxed geometry, computed with PBE-GGA.

The structure in POSCAR format:
```
LiLa2RhN
1.0
5.0493 0.0000 0.0000
0.0000 5.0493 0.0000
0.0000 0.0000 3.9436
N La Li Rh
1 2 1 1
Direct
0.0000 0.0000 0.0000
0.5000 0.0000 0.0000
0.0000 0.5000 0.0000
0.0000 0.0000 0.5000
0.5000 0.5000 0.5000
```

Raw formation energy in kJ/mol of atoms: -73.5
Energy relative to the lowest polymorph listed for this composition in meV per atom: 0

Calculated calculated volume, 14.53, 14.00, 13.37, 20.11 Å³/atom (same order as the records).
Calculated DFT total energy, -8.701, -7.733, -7.611, -6.250 eV per atom (same order as the records).
Calculated N(E_F), 1.00, 0.56, 0.00, 0.44 states/eV per atom (same order as the records).